Density functional theory data (PBE) for a relaxed Ba2TcOs crystal.

a = 3.3736 Å, b = 4.7357 Å, c = 6.7229 Å
α = 90.00°, β = 90.02°, γ = 90.00°
Last column: nearest neighbours and their distance in Å.
Space group P2/m (No. 10)
Unique sites:
Ba  0.0016  0.0000  0.2544  4 Ba 3.30-3.42, 4 Os 3.34-3.35, 4 Tc 3.37-3.38
Tc  0.5000  0.5000  0.0000  2 Os 3.36, 8 Ba 3.37-3.38, 2 Tc 3.37
Os  0.5000  0.5000  0.5000  8 Ba 3.34-3.35, 2 Tc 3.36, 2 Os 3.37

Output
Raw total energy ... -19.8 eV per cell
Fermi-level density of states ... 1.211 states/eV/atom
E above lowest polymorph ... 1.160 eV per atom

Density functional theory data (PBE) for a relaxed Ba2TcOs crystal.

a = 6.6180 Å, b = 9.5798 Å, c = 3.3578 Å
α = 90.00°, β = 90.00°, γ = 90.00°
Last column: nearest neighbours and their distance in Å.
Space group Cmmm (No. 65)
Unique sites:
Ba  0.2500  0.2500  0.0000  4 Ba 3.31-3.36, 4 Tc 3.36, 4 Os 3.36
Tc  0.0000  0.0000  0.5000  2 Os 3.31, 2 Tc 3.36, 8 Ba 3.36
Os  0.0000  0.5000  0.5000  2 Tc 3.31, 2 Os 3.36, 8 Ba 3.36

Output
Raw total energy ... -39.6 eV per cell
Fermi-level density of states ... 0.970 states/eV/atom
E above lowest polymorph ... 1.153 eV per atom

Look up the E above lowest polymorph of the second one.
1.153 eV per atom